No. 1
Entry from the Alexandria database: an optimized crystal structure of Na2In6Rh (PBE).

- Fermi-level density of states (states/eV per atom) = 0.57
- space-group type = P-3m1 (164)
- offset from the most stable computed form (eV per atom) = 0.000
- energy relative to the elements (eV per atom) = -0.124
- V (Å³/atom) = 25.35

Lattice parameters (Å, degrees): 6.6883 6.6883 5.8896 90.00 90.00 120.00
Fractional coordinates of all 9 atoms:
Na (0.3333, 0.6667, 0.1942)
Na (0.6667, 0.3333, 0.8058)
In (0.1764, 0.3527, 0.7046)
In (0.1764, 0.8236, 0.7046)
In (0.3527, 0.1764, 0.2954)
In (0.6473, 0.8236, 0.7046)
In (0.8236, 0.1764, 0.2954)
In (0.8236, 0.6473, 0.2954)
Rh (0.0000, 0.0000, 0.0000)

No. 2
Entry from the Alexandria database: an optimized crystal structure of YZrCo2 (PBE).

- Fermi-level density of states (states/eV per atom) = 0.77
- space-group type = P4/mmm (123)
- energy relative to the elements (eV per atom) = -0.225
- V (Å³/atom) = 17.45

Lattice parameters (Å, degrees): 3.2438 3.2438 6.6320 90.00 90.00 90.00
Fractional coordinates of all 4 atoms:
Y (0.0000, 0.0000, 0.0000)
Zr (0.0000, 0.0000, 0.5000)
Co (0.5000, 0.5000, 0.2801)
Co (0.5000, 0.5000, 0.7199)

No. 3
Entry from the Alexandria database: an optimized crystal structure of Ni3P2 (PBE).

- Fermi-level density of states (states/eV per atom) = 0.77
- space-group type = Fdd2 (43)
- energy relative to the elements (eV per atom) = -0.315
- V (Å³/atom) = 11.86

Lattice parameters (Å, degrees): 5.8293 5.5543 7.4661 50.63 47.44 81.93
Fractional coordinates of all 10 atoms:
Ni (0.0000, 0.0000, 0.0000)
Ni (0.2500, 0.2500, 0.2500)
Ni (0.2915, 0.6785, 0.5680)
Ni (0.6785, 0.2915, 0.4620)
Ni (0.6820, 0.7880, 0.9585)
Ni (0.7880, 0.6820, 0.5715)
P (0.0951, 0.3734, 0.5413)
P (0.2597, 0.7087, 0.8766)
P (0.3734, 0.0951, 0.9903)
P (0.7087, 0.2597, 0.1549)

No. 4
Entry from the Alexandria database: an optimized crystal structure of CsKGeBr4 (PBE).

- space-group type = I4mm (107)
- V (Å³/atom) = 38.62
- uncorrected energy (eV/atom) = -3.15

Lattice parameters (Å, degrees): 5.5565 5.5565 17.5125 90.00 90.00 90.00
Fractional coordinates of all 14 atoms:
Cs (0.0000, 0.0000, 0.0000)
Cs (0.5000, 0.5000, 0.5000)
K (0.0000, 0.0000, 0.7186)
K (0.5000, 0.5000, 0.2186)
Ge (0.0000, 0.0000, 0.3553)
Ge (0.5000, 0.5000, 0.8553)
Br (0.0000, 0.0000, 0.2015)
Br (0.0000, 0.0000, 0.5268)
Br (0.0000, 0.5000, 0.3517)
Br (0.0000, 0.5000, 0.8517)
Br (0.5000, 0.0000, 0.3517)
Br (0.5000, 0.0000, 0.8517)
Br (0.5000, 0.5000, 0.0268)
Br (0.5000, 0.5000, 0.7015)

No. 5
Entry from the Alexandria database: an optimized crystal structure of NdTmMgCo (PBE).

- Fermi-level density of states (states/eV per atom) = 0.64
- space-group type = F-43m (216)
- energy relative to the elements (eV per atom) = 0.029
- V (Å³/atom) = 23.08

Lattice parameters (Å, degrees): 7.1747 7.1747 7.1747 90.00 90.00 90.00
Fractional coordinates of all 16 atoms:
Nd (0.0000, 0.0000, 0.0000)
Nd (0.0000, 0.5000, 0.5000)
Nd (0.5000, 0.0000, 0.5000)
Nd (0.5000, 0.5000, 0.0000)
Tm (0.0000, 0.0000, 0.5000)
Tm (0.0000, 0.5000, 0.0000)
Tm (0.5000, 0.0000, 0.0000)
Tm (0.5000, 0.5000, 0.5000)
Mg (0.2500, 0.2500, 0.7500)
Mg (0.2500, 0.7500, 0.2500)
Mg (0.7500, 0.2500, 0.2500)
Mg (0.7500, 0.7500, 0.7500)
Co (0.2500, 0.2500, 0.2500)
Co (0.2500, 0.7500, 0.7500)
Co (0.7500, 0.2500, 0.7500)
Co (0.7500, 0.7500, 0.2500)

No. 6
Entry from the Alexandria database: an optimized crystal structure of Ac2HfAl3Ga12 (PBE).

- Fermi-level density of states (states/eV per atom) = 0.60
- space-group type = R-3m (166)
- energy relative to the elements (eV per atom) = -0.139
- V (Å³/atom) = 21.73

Lattice parameters (Å, degrees): 12.4670 12.4670 12.4670 28.55 28.55 28.55
Fractional coordinates of all 18 atoms:
Ac (0.1403, 0.1403, 0.1403)
Ac (0.8597, 0.8597, 0.8597)
Hf (0.5000, 0.5000, 0.5000)
Al (0.0000, 0.5000, 0.5000)
Al (0.5000, 0.0000, 0.5000)
Al (0.5000, 0.5000, 0.0000)
Ga (0.0959, 0.0959, 0.6483)
Ga (0.0959, 0.6483, 0.0959)
Ga (0.1104, 0.6053, 0.6053)
Ga (0.3517, 0.9041, 0.9041)
Ga (0.3947, 0.3947, 0.8896)
Ga (0.3947, 0.8896, 0.3947)
Ga (0.6053, 0.1104, 0.6053)
Ga (0.6053, 0.6053, 0.1104)
Ga (0.6483, 0.0959, 0.0959)
Ga (0.8896, 0.3947, 0.3947)
Ga (0.9041, 0.3517, 0.9041)
Ga (0.9041, 0.9041, 0.3517)

No. 7
Entry from the Alexandria database: an optimized crystal structure of HfMg2MnMo (PBE).

- Fermi-level density of states (states/eV per atom) = 1.17
- space-group type = P4/mmm (123)
- energy relative to the elements (eV per atom) = 1.571
- V (Å³/atom) = 27.17

Lattice parameters (Å, degrees): 5.3849 5.3849 4.6858 90.00 90.00 90.00
Fractional coordinates of all 5 atoms:
Hf (0.0000, 0.0000, 0.0000)
Mg (0.0000, 0.5000, 0.0000)
Mg (0.5000, 0.0000, 0.0000)
Mn (0.5000, 0.5000, 0.5000)
Mo (0.0000, 0.0000, 0.5000)

No. 8
Entry from the Alexandria database: an optimized crystal structure of CaTiSbP3O12 (PBE).

- Fermi-level density of states (states/eV per atom) = 0.00
- space-group type = R3c (161)
- V (Å³/atom) = 14.06
- uncorrected energy (eV/atom) = -7.36

Lattice parameters (Å, degrees): 8.9927 8.9927 8.9927 59.32 59.32 59.32
Fractional coordinates of all 36 atoms:
Ca (0.0000, 0.0000, 0.0000)
Ca (0.5000, 0.5000, 0.5000)
Ti (0.3494, 0.3494, 0.3494)
Ti (0.8494, 0.8494, 0.8494)
Sb (0.1420, 0.1420, 0.1420)
Sb (0.6420, 0.6420, 0.6420)
P (0.0345, 0.4869, 0.7101)
P (0.2101, 0.9869, 0.5345)
P (0.4869, 0.7101, 0.0345)
P (0.5345, 0.2101, 0.9869)
P (0.7101, 0.0345, 0.4869)
P (0.9869, 0.5345, 0.2101)
O (0.0037, 0.3129, 0.8681)
O (0.0702, 0.9456, 0.7332)
O (0.0786, 0.4070, 0.0966)
O (0.0966, 0.0786, 0.4070)
O (0.1394, 0.4993, 0.2744)
O (0.2332, 0.4456, 0.5702)
O (0.2744, 0.1394, 0.4993)
O (0.3129, 0.8681, 0.0037)
O (0.3681, 0.8129, 0.5037)
O (0.4070, 0.0966, 0.0786)
O (0.4456, 0.5702, 0.2332)
O (0.4993, 0.2744, 0.1394)
O (0.5037, 0.3681, 0.8129)
O (0.5702, 0.2332, 0.4456)
O (0.5786, 0.5966, 0.9070)
O (0.5966, 0.9070, 0.5786)
O (0.6394, 0.7744, 0.9993)
O (0.7332, 0.0702, 0.9456)
O (0.7744, 0.9993, 0.6394)
O (0.8129, 0.5037, 0.3681)
O (0.8681, 0.0037, 0.3129)
O (0.9070, 0.5786, 0.5966)
O (0.9456, 0.7332, 0.0702)
O (0.9993, 0.6394, 0.7744)

No. 9
Entry from the Alexandria database: an optimized crystal structure of LiCaRh (PBE).

- Fermi-level density of states (states/eV per atom) = 0.32
- space-group type = F-43m (216)
- offset from the most stable computed form (eV per atom) = 0.617
- energy relative to the elements (eV per atom) = 0.352
- V (Å³/atom) = 22.52

Lattice parameters (Å, degrees): 6.4656 6.4656 6.4656 90.00 90.00 90.00
Fractional coordinates of all 12 atoms:
Li (0.0000, 0.0000, 0.0000)
Li (0.0000, 0.5000, 0.5000)
Li (0.5000, 0.0000, 0.5000)
Li (0.5000, 0.5000, 0.0000)
Ca (0.2500, 0.2500, 0.2500)
Ca (0.2500, 0.7500, 0.7500)
Ca (0.7500, 0.2500, 0.7500)
Ca (0.7500, 0.7500, 0.2500)
Rh (0.0000, 0.0000, 0.5000)
Rh (0.0000, 0.5000, 0.0000)
Rh (0.5000, 0.0000, 0.0000)
Rh (0.5000, 0.5000, 0.5000)

No. 10
Entry from the Alexandria database: an optimized crystal structure of Y2Co17H3 (PBE).

- Fermi-level density of states (states/eV per atom) = 0.96
- space-group type = R-3m (166)
- V (Å³/atom) = 11.13
- uncorrected energy (eV/atom) = -6.66

Lattice parameters (Å, degrees): 6.2939 6.2939 6.2939 83.44 83.44 83.44
Fractional coordinates of all 22 atoms:
Y (0.1551, 0.1551, 0.1551)
Y (0.8449, 0.8449, 0.8449)
Co (0.0000, 0.5000, 0.5000)
Co (0.1543, 0.1543, 0.6454)
Co (0.1543, 0.6454, 0.1543)
Co (0.2162, 0.5000, 0.7838)
Co (0.2162, 0.7838, 0.5000)
Co (0.3546, 0.8457, 0.8457)
Co (0.4033, 0.4033, 0.4033)
Co (0.5000, 0.0000, 0.5000)
Co (0.5000, 0.2162, 0.7838)
Co (0.5000, 0.5000, 0.0000)
Co (0.5000, 0.7838, 0.2162)
Co (0.5967, 0.5967, 0.5967)
Co (0.6454, 0.1543, 0.1543)
Co (0.7838, 0.2162, 0.5000)
Co (0.7838, 0.5000, 0.2162)
Co (0.8457, 0.3546, 0.8457)
Co (0.8457, 0.8457, 0.3546)
H (0.0000, 0.0000, 0.5000)
H (0.0000, 0.5000, 0.0000)
H (0.5000, 0.0000, 0.0000)

No. 11
Entry from the Alexandria database: an optimized crystal structure of Th2UGa2Ru5 (PBE).

- Fermi-level density of states (states/eV per atom) = 0.68
- space-group type = P4/mbm (127)
- energy relative to the elements (eV per atom) = -0.447
- V (Å³/atom) = 18.46

Lattice parameters (Å, degrees): 10.1435 10.1435 3.5890 90.00 90.00 90.00
Fractional coordinates of all 20 atoms:
Th (0.1693, 0.3307, 0.0000)
Th (0.3307, 0.8307, 0.0000)
Th (0.6693, 0.1693, 0.0000)
Th (0.8307, 0.6693, 0.0000)
U (0.0000, 0.0000, 0.0000)
U (0.5000, 0.5000, 0.0000)
Ga (0.1262, 0.6262, 0.0000)
Ga (0.3738, 0.1262, 0.0000)
Ga (0.6262, 0.8738, 0.0000)
Ga (0.8738, 0.3738, 0.0000)
Ru (0.0000, 0.5000, 0.5000)
Ru (0.0687, 0.7991, 0.5000)
Ru (0.2009, 0.0687, 0.5000)
Ru (0.2991, 0.5687, 0.5000)
Ru (0.4313, 0.2991, 0.5000)
Ru (0.5000, 0.0000, 0.5000)
Ru (0.5687, 0.7009, 0.5000)
Ru (0.7009, 0.4313, 0.5000)
Ru (0.7991, 0.9313, 0.5000)
Ru (0.9313, 0.2009, 0.5000)

No. 12
Entry from the Alexandria database: an optimized crystal structure of PuPtS (PBE).

- Fermi-level density of states (states/eV per atom) = 4.00
- space-group type = R-3m (166)
- V (Å³/atom) = 25.05
- uncorrected energy (eV/atom) = -9.04

Lattice parameters (Å, degrees): 10.7315 10.7315 10.7315 21.87 21.87 21.87
Fractional coordinates of all 6 atoms:
Pu (0.0724, 0.0724, 0.0724)
Pu (0.9276, 0.9276, 0.9276)
Pt (0.3531, 0.3531, 0.3531)
Pt (0.6469, 0.6469, 0.6469)
S (0.2191, 0.2191, 0.2191)
S (0.7809, 0.7809, 0.7809)